<A>
DFT (PBE-GGA) results for crystalline ScTlFeHg at its relaxed geometry.

Results
Space group: F-43m (216)

Unit cell a=4.8337 b=4.8337 c=4.8337 alpha=60.00 beta=60.00 gamma=60.00
Closest atoms and distances in Å follow each position.
Element x y z (fractional)
Sc 0.0000 0.0000 0.0000  4 Fe 2.96, 4 Hg 2.96
Tl 0.5000 0.5000 0.5000  4 Fe 2.96, 4 Hg 2.96
Fe 0.7500 0.7500 0.7500  4 Sc 2.96, 4 Tl 2.96
Hg 0.2500 0.2500 0.2500  4 Tl 2.96, 4 Sc 2.96



<B>
DFT (PBE-GGA) results for crystalline ScTlFeHg at its relaxed geometry.

Results
Space group: F-43m (216)

Unit cell a=4.7346 b=4.7346 c=4.7346 alpha=60.00 beta=60.00 gamma=60.00
Closest atoms and distances in Å follow each position.
Element x y z (fractional)
Sc 0.0000 0.0000 0.0000  4 Hg 2.90, 4 Tl 2.90
Tl 0.2500 0.2500 0.2500  4 Fe 2.90, 4 Sc 2.90
Fe 0.5000 0.5000 0.5000  4 Hg 2.90, 4 Tl 2.90
Hg 0.7500 0.7500 0.7500  4 Fe 2.90, 4 Sc 2.90



How far above the most stable structure does each one sit? In meV/atom: <A> 93; <B> 0.